(1)
Crystalline PmHoTc2O8 at its relaxed geometry. Source: Alexandria, functional PBE.

Summary:
SG: I-4 (82)
Density of states at the Fermi level, states/eV/cell: 0.4
Uncorrected formation energy, eV per atom: -2.236

a = 5.240 Å, b = 5.240 Å, c = 6.762 Å
α = 112.80°, β = 112.80°, γ = 90.00°
Element x y z (fractional)
O 0.412 0.333 0.170
O 0.999 0.409 0.323
Tc 0.500 0.500 0.000
O 0.085 0.001 0.677
Pm 0.750 0.250 0.500
O 0.591 0.676 0.677
Tc 0.250 0.750 0.500
O 0.324 0.915 0.323
O 0.164 0.588 0.830
O 0.758 0.836 0.170
Ho 0.000 0.000 0.000
O 0.667 0.242 0.830

***

(2)
Crystalline Pm2HoTcO8 at its relaxed geometry. Source: Alexandria, functional PBE.

Summary:
SG: P2/m (10)
Uncorrected formation energy, eV per atom: -2.556

a = 5.150 Å, b = 5.146 Å, c = 6.832 Å
α = 90.00°, β = 90.00°, γ = 90.82°
Element x y z (fractional)
O 0.738 0.740 0.000
Tc 0.000 0.000 0.000
O 0.302 0.301 0.500
Pm 0.500 0.500 0.750
Pm 0.500 0.500 0.250
O 0.824 0.178 0.792
O 0.176 0.822 0.208
O 0.176 0.822 0.792
Ho 0.000 0.000 0.500
O 0.262 0.260 0.000
O 0.824 0.178 0.208
O 0.698 0.699 0.500

***

(3)
Crystalline PmHoTeO2 at its relaxed geometry. Source: Alexandria, functional PBE.

Summary:
SG: P2_1/m (11)
Density of states at the Fermi level, states/eV/cell: 0.0
Uncorrected formation energy, eV per atom: -2.944

a = 4.123 Å, b = 6.891 Å, c = 7.860 Å
α = 107.04°, β = 90.00°, γ = 90.00°
Element x y z (fractional)
Te 0.750 0.951 0.249
O 0.250 0.491 0.616
Ho 0.750 0.343 0.588
Ho 0.250 0.657 0.412
Pm 0.250 0.677 0.924
Pm 0.750 0.323 0.076
O 0.250 0.483 0.127
O 0.750 0.509 0.384
Te 0.250 0.049 0.751
O 0.750 0.517 0.873

***

(4)
Crystalline PmHoTe2O at its relaxed geometry. Source: Alexandria, functional PBE.

Summary:
SG: P4/nmm (129)
Density of states at the Fermi level, states/eV/cell: 2.9
Uncorrected formation energy, eV per atom: -2.061

a = 4.190 Å, b = 4.190 Å, c = 15.733 Å
α = 90.00°, β = 90.00°, γ = 90.00°
Element x y z (fractional)
Pm 0.000 0.500 0.430
Te 0.500 0.000 0.311
Pm 0.500 0.000 0.570
O 0.500 0.500 0.500
Te 0.000 0.500 0.084
Ho 0.500 0.000 0.130
Te 0.000 0.500 0.689
Te 0.500 0.000 0.916
Ho 0.000 0.500 0.870
O 0.000 0.000 0.500